1.
HfHgNO2: optimized geometry, PBE.

The uncorrected formation energy is -5.09 eV/f.u.

It has space group P4/mmm (No. 123), with a = 4.072 Å, b = 4.072 Å, c = 4.419 Å, α = 90.00°, β = 90.00° and γ = 90.00°. The distinct sites, in fractional coordinates, are Hf at (0.000, 0.000, 0.000), Hg at (0.500, 0.500, 0.500), N at (0.000, 0.000, 0.500) and O at (0.000, 0.500, 0.000).

***

2.
Fe2SiBr: optimized geometry, PBE.

The uncorrected formation energy is 1.09 eV/f.u.

It has space group Pm (No. 6), with a = 3.306 Å, b = 3.734 Å, c = 6.038 Å, α = 90.00°, β = 90.62° and γ = 90.00°. The distinct sites, in fractional coordinates, are Fe at (0.000, 0.000, 0.000), Fe at (0.500, 0.500, 0.036), Si at (0.506, 0.000, 0.269) and Br at (0.993, 0.500, 0.718).

***

3.
SrB6Ir12: optimized geometry, PBE.

The calculation puts the calculated formation energy at -0.236 eV/atom.

It has space group R-3m (No. 166, hexagonal axes), with a = 10.2993 Å, b = 10.2993 Å, c = 8.2562 Å, α = 90.00°, β = 90.00° and γ = 120.00°. The distinct sites, in fractional coordinates, are Sr at (0.0000, 0.0000, 0.0000), B at (0.0421, 0.5211, 0.2912), Ir at (0.0000, 0.3652, 0.5000) and Ir at (0.0881, 0.1762, 0.3615).

***

4.
KNbSi3: optimized geometry, PBE.

The uncorrected formation energy is 1.16 eV/f.u.

It has space group Pm-3m (No. 221), with a = 4.962 Å, b = 4.962 Å, c = 4.962 Å, α = 90.00°, β = 90.00° and γ = 90.00°. The distinct sites, in fractional coordinates, are K at (0.000, 0.000, 0.000), Nb at (0.500, 0.500, 0.500) and Si at (0.000, 0.500, 0.500).

***

Number 1: raw total energy -33.6 eV per formula unit. Number 2: raw total energy -22.9 eV per formula unit. Number 3: raw total energy -152.6 eV per formula unit. Number 4: raw total energy -26.3 eV per formula unit.